Entry from Alexandria: a relaxed Zr3Os4 crystal (PBE).

Results
calculated formation energy = 0.6148 eV per atom
crystal system = hexagonal
energy above the most stable polymorph in this dataset = 475 meV per atom
total moment = 0.0000 μB per atom
symmetry = No. 191

Lattice parameters (Å, degrees): 5.5167 5.5167 4.8119 90.00 90.00 120.00
Last column: nearest neighbours and their distance in Å.
Fractional coordinates of all 7 atoms:
Os 0.0000 0.0000 0.2528  2 Os 2.38-2.43
Os 0.6667 0.3333 0.5000  6 Zr 2.89, 3 Os 3.19
Os 0.3333 0.6667 0.5000  6 Zr 2.89, 3 Os 3.19
Os 0.0000 0.0000 0.7472  2 Os 2.38-2.43
Zr 0.5000 0.0000 0.0000  4 Zr 2.76, 8 Os 2.89-3.01
Zr 0.0000 0.5000 0.0000  4 Zr 2.76, 8 Os 2.89-3.01
Zr 0.5000 0.5000 0.0000  4 Zr 2.76, 8 Os 2.89-3.01